1.
VASP calculation (PBE-GGA) on an optimized crystal structure of Mg6CuHg.

Energy relative to the elements   -0.058 eV/atom

```
Mg6CuHg
1.0
-1.050 -4.301 1.253
3.847 -0.207 2.516
-2.513 0.510 8.093
Mg Cu Hg
6 1 1
Cartesian
0.850 -3.133 6.858
-2.188 -2.242 7.370
0.261 -0.195 8.001
2.472 -1.757 4.492
-0.566 -0.866 5.003
0.023 -3.804 3.860
0.000 0.000 0.000
1.398 -2.254 1.884
```

=====

2.
VASP calculation (PBE-GGA) on an optimized crystal structure of MgCuHg2.

Energy relative to the elements   0.070 eV/atom

```
MgCuHg2
1.0
-4.669 -0.734 0.735
-2.829 -1.243 -3.651
-1.791 -4.429 -0.238
Cu Hg Mg
1 2 1
Cartesian
-4.645 -3.203 -1.577
0.000 0.000 0.000
-2.322 -1.602 -0.789
-6.967 -4.805 -2.366
```

=====

3.
VASP calculation (PBE-GGA) on an optimized crystal structure of MgCuHg2.

Energy relative to the elements   0.018 eV/atom

```
MgCuHg2
1.0
-1.996 -2.061 -3.495
1.606 -3.945 -1.516
-2.999 -4.327 1.339
Mg Cu Hg
1 1 2
Cartesian
-1.791 -5.245 -1.734
-3.132 -8.229 -2.134
-2.489 -3.913 0.804
-0.669 -2.439 -1.105
```

=====

4.
VASP calculation (PBE-GGA) on an optimized crystal structure of MgCu2Hg.

Energy relative to the elements   0.014 eV/atom

```
MgCu2Hg
1.0
4.240 0.000 0.000
0.000 3.019 -0.018
0.000 1.480 5.150
Cu Hg Mg
2 1 1
Cartesian
0.000 2.059 5.118
2.120 0.554 1.260
0.000 2.060 2.384
2.120 3.556 4.085
```

=====

5.
VASP calculation (PBE-GGA) on an optimized crystal structure of MgCu2Hg.

Energy relative to the elements   0.011 eV/atom

```
MgCu2Hg
1.0
-2.230 -0.813 3.815
-2.596 -3.651 0.351
1.254 -3.402 2.654
Cu Hg Mg
2 1 1
Cartesian
0.000 0.000 0.000
-0.893 -1.966 1.705
-1.786 -3.933 3.410
-2.679 -5.899 5.115
```

=====

6.
VASP calculation (PBE-GGA) on an optimized crystal structure of Mg3CuHg.

Energy relative to the elements   0.074 eV/atom
Energy above the most stable polymorph in this dataset   0 meV/atom

```
Mg3CuHg
1.0
-4.118 -2.326 1.370
1.749 -4.202 -1.878
2.057 -1.084 4.340
Mg Hg Cu
3 1 1
Cartesian
0.874 -2.101 -0.939
1.028 -0.542 2.170
-2.059 -1.163 0.685
-0.156 -3.806 1.916
0.000 0.000 0.000
```

=====

7.
VASP calculation (PBE-GGA) on an optimized crystal structure of MgCuHg2.

Energy relative to the elements   -0.010 eV/atom

```
MgCuHg2
1.0
3.528 0.000 0.000
0.000 3.318 0.016
0.000 3.343 6.554
Cu Hg Mg
1 2 1
Cartesian
1.764 4.995 4.928
0.000 3.347 6.444
0.000 3.326 3.395
1.764 1.665 1.643
```

=====

8.
VASP calculation (PBE-GGA) on an optimized crystal structure of Mg2CuHg.

Energy relative to the elements   -0.064 eV/atom

```
Mg2CuHg
1.0
-3.784 2.202 2.762
0.300 -1.356 4.987
3.467 1.884 -3.351
Cu Hg Mg
1 1 2
Cartesian
-1.742 0.423 3.874
-1.030 2.254 1.643
0.000 0.000 0.000
1.012 0.476 2.755
```

=====

9.
VASP calculation (PBE-GGA) on an optimized crystal structure of MgCuHg2.

Energy relative to the elements   0.033 eV/atom

```
MgCuHg2
1.0
5.220 0.000 0.000
1.765 4.912 0.000
-3.493 -2.456 3.003
Cu Hg Mg
1 2 1
Cartesian
2.610 0.000 1.501
0.000 0.000 0.000
0.883 2.456 1.501
3.493 2.456 0.000
```

=====

10.
VASP calculation (PBE-GGA) on an optimized crystal structure of Mg4CuHg.

Energy relative to the elements   0.220 eV/atom
Energy above the most stable polymorph in this dataset   345 meV/atom

```
Mg4CuHg
1.0
1.608 -2.836 4.602
1.822 2.800 4.544
-3.165 0.167 4.665
Mg Cu Hg
4 1 1
Cartesian
0.902 -1.367 7.480
-1.481 0.133 7.511
1.009 1.447 7.451
0.099 0.049 5.182
0.199 0.098 10.359
0.000 0.000 0.000
```

=====

11.
VASP calculation (PBE-GGA) on an optimized crystal structure of Mg4CuHg.

Energy relative to the elements   -0.031 eV/atom
Energy above the most stable polymorph in this dataset   94 meV/atom

```
Mg4CuHg
1.0
-1.354 3.657 2.305
-4.233 -0.920 -1.332
-1.445 -3.469 5.513
Mg Cu Hg
4 1 1
Cartesian
-5.234 0.029 1.351
-1.774 -0.733 5.127
-3.142 -2.909 3.398
-3.865 2.203 3.081
-4.941 -2.638 1.422
-4.228 -2.089 5.995
```

=====

12.
VASP calculation (PBE-GGA) on an optimized crystal structure of MgCu2Hg.

Energy relative to the elements   0.103 eV/atom

```
MgCu2Hg
1.0
-4.201 3.147 0.252
0.192 -3.960 3.325
0.542 1.398 2.493
Cu Hg Mg
2 1 1
Cartesian
0.000 0.000 0.000
-1.830 2.273 1.373
0.367 -1.281 2.909
-2.004 -0.406 1.788
```

=====

13.
VASP calculation (PBE-GGA) on an optimized crystal structure of MgCu2Hg.

Energy relative to the elements   0.162 eV/atom

```
MgCu2Hg
1.0
9.018 0.019 0.011
8.523 2.945 0.011
8.523 1.440 2.568
Cu Hg Mg
2 1 1
Cartesian
25.990 4.392 2.584
13.106 2.215 1.303
19.548 3.303 1.943
6.516 1.101 0.648
```

=====

14.
VASP calculation (PBE-GGA) on an optimized crystal structure of Mg6CuHg5.

Energy relative to the elements   -0.184 eV/atom

```
Mg6CuHg5
1.0
4.670 0.002 -0.947
-0.003 7.205 -0.001
-0.856 0.000 7.478
Mg Hg Cu
6 5 1
Cartesian
3.332 5.486 4.258
3.333 1.722 4.259
1.478 1.750 7.004
2.332 5.457 -0.474
0.477 5.485 2.272
0.479 1.721 2.272
2.834 3.604 1.899
1.001 7.206 4.765
-0.002 3.602 0.000
2.809 0.001 1.765
0.976 3.603 4.632
0.000 0.000 0.000
```

=====

15.
VASP calculation (PBE-GGA) on an optimized crystal structure of MgCu2Hg.

Energy relative to the elements   0.150 eV/atom

```
MgCu2Hg
1.0
8.961 0.025 0.015
8.449 2.988 0.015
8.449 1.462 2.606
Cu Hg Mg
2 1 1
Cartesian
0.148 0.026 0.015
19.161 3.316 1.953
12.755 2.208 1.300
6.723 1.164 0.685
```